Compound: Sm2GaO4
Source: OQMD via LeMat-Bulk
Functional: GGA-PBE
Structure: optimized geometry

abc: 9.3367 9.3367 9.3367
angles: 90.00 90.00 90.00
Last column: nearest neighbours and their distance in Å.
Space group Fd-3m (No. 227, origin choice 2)
Asymmetric unit:
1 Sm 0.0000 0.0000 0.0000 [16 per cell]  6 O 2.41
2 Ga 0.1250 0.1250 0.6250 [8 per cell]  4 O 1.90
3 O 0.0075 0.0075 0.7425 [32 per cell]  1 Ga 1.90

Summary:
Electronic total energy ... -7.207 eV/atom